Entry 1:
A relaxed structure of Na5B8C2, computed with GGA-PBE.

```
Na5B8C2
1.0
9.0702 -1.4080 0.0000
9.0702 1.4080 0.0000
-5.2181 0.0000 12.6341
Na B C
10 16 4
direct
0.0000 0.0000 0.0000
0.0000 0.0000 0.5000
0.1996 0.1996 0.3996
0.1999 0.1999 0.9022
0.4000 0.4000 0.2960
0.4000 0.4000 0.8013
0.6000 0.6000 0.1987
0.6000 0.6000 0.7040
0.8001 0.8001 0.0978
0.8004 0.8004 0.6004
0.0310 0.0310 0.3097
0.0334 0.0334 0.8184
0.1773 0.1773 0.6059
0.2335 0.2335 0.2147
0.3581 0.3581 0.9680
0.3640 0.3640 0.4782
0.4256 0.4256 0.1010
0.4262 0.4262 0.6041
0.5738 0.5738 0.3959
0.5744 0.5744 0.8990
0.6360 0.6360 0.5218
0.6419 0.6419 0.0320
0.7665 0.7665 0.7853
0.8227 0.8227 0.3941
0.9666 0.9666 0.1816
0.9690 0.9690 0.6903
0.1727 0.1727 0.0926
0.2357 0.2357 0.7234
0.7643 0.7643 0.2766
0.8273 0.8273 0.9074
```

Results
E above lowest polymorph = 3 meV/atom
raw total energy = -5.057 eV per atom
space-group type = No. 12
total moment = 0.0000 μB per atom
energy of formation from the pure elements = 0.17 eV per atom

Entry 2:
A relaxed structure of Na5B8C2, computed with GGA-PBE.

```
Na5B8C2
1.0
5.2815 0.0000 0.0000
2.6363 7.0428 0.0000
0.0063 2.8176 8.6736
Na B C
10 16 4
direct
0.0000 0.0000 0.0000
0.0989 0.7990 0.5037
0.1977 0.6006 0.9961
0.2955 0.4008 0.4968
0.4005 0.1968 0.0068
0.5000 0.0000 0.5000
0.5995 0.8032 0.9932
0.7045 0.5992 0.5032
0.8023 0.3995 0.0039
0.9011 0.2010 0.4963
0.0303 0.2998 0.7501
0.1104 0.0887 0.2500
0.1747 0.3074 0.2501
0.2178 0.9080 0.7498
0.2979 0.7009 0.2496
0.3867 0.4896 0.7498
0.4241 0.8890 0.2499
0.4993 0.3112 0.2498
0.5007 0.6888 0.7502
0.5759 0.1110 0.7501
0.6133 0.5104 0.2502
0.7021 0.2991 0.7504
0.7822 0.0920 0.2502
0.8253 0.6926 0.7499
0.8896 0.9113 0.7500
0.9697 0.7002 0.2499
0.0887 0.4961 0.7492
0.2845 0.1040 0.7499
0.7155 0.8960 0.2501
0.9113 0.5039 0.2508
```

Results
E above lowest polymorph = 18 meV/atom
raw total energy = -5.043 eV per atom
space-group type = No. 2
total moment = 0.0000 μB per atom
energy of formation from the pure elements = 0.19 eV per atom

Entry 3:
A relaxed structure of Na2B3C, computed with GGA-PBE.

```
Na2B3C
1.0
5.2321 0.0000 0.0000
0.0000 8.6613 0.0000
-2.6129 0.0000 6.9871
Na B C
10 15 5
direct
0.0000 0.2434 0.0000
0.0000 0.7566 0.0000
0.2015 0.2528 0.4000
0.2015 0.7472 0.4000
0.4029 0.2445 0.7992
0.4029 0.7555 0.7992
0.6051 0.2487 0.1988
0.6051 0.7513 0.1988
0.8052 0.2498 0.6002
0.8052 0.7502 0.6002
0.0541 0.5000 0.8102
0.0714 0.0000 0.7927
0.1495 0.5000 0.5956
0.2411 0.0000 0.2101
0.2441 0.5000 0.1893
0.3542 0.0000 0.0110
0.3717 0.5000 0.9985
0.4305 0.0000 0.5888
0.5536 0.5000 0.4045
0.5558 0.0000 0.4001
0.6778 0.0000 0.0062
0.7198 0.5000 0.7986
0.7426 0.0000 0.7879
0.8833 0.0000 0.3998
0.9210 0.5000 0.2002
0.1382 0.0000 0.5960
0.4611 0.5000 0.5959
0.6626 0.5000 0.9994
0.8650 0.5000 0.4038
0.9421 0.0000 0.2034
```

Results
E above lowest polymorph = 37 meV/atom
raw total energy = -5.145 eV per atom
space-group type = No. 6
total moment = 0.0000 μB per atom
energy of formation from the pure elements = 0.17 eV per atom

Entry 4:
A relaxed structure of Na5B9C, computed with GGA-PBE.

```
Na5B9C
1.0
8.6393 0.0000 0.0000
0.0000 7.4698 2.5924
0.0000 -7.4698 2.5924
Na B C
10 18 2
direct
0.2473 0.0000 0.0000
0.2504 0.4021 0.6023
0.2504 0.6023 0.4021
0.2507 0.2015 0.8019
0.2507 0.8019 0.2015
0.7493 0.2015 0.8019
0.7493 0.8019 0.2015
0.7496 0.4021 0.6023
0.7496 0.6023 0.4021
0.7527 0.0000 0.0000
0.0000 0.0725 0.2726
0.0000 0.1302 0.5301
0.0000 0.2726 0.0725
0.0000 0.3304 0.3304
0.0000 0.4729 0.8726
0.0000 0.5301 0.1302
0.0000 0.6727 0.6727
0.0000 0.7301 0.9303
0.0000 0.8726 0.4729
0.0000 0.9303 0.7301
0.5000 0.0424 0.2369
0.5000 0.1414 0.5400
0.5000 0.2369 0.0424
0.5000 0.3432 0.3432
0.5000 0.4829 0.8704
0.5000 0.5400 0.1414
0.5000 0.6779 0.6779
0.5000 0.8704 0.4829
0.5000 0.7389 0.9328
0.5000 0.9328 0.7389
```

Results
E above lowest polymorph = 25 meV/atom
raw total energy = -4.800 eV per atom
space-group type = No. 38
total moment = 0.0000 μB per atom
energy of formation from the pure elements = 0.26 eV per atom

Entry 5:
A relaxed structure of Na5B9C, computed with GGA-PBE.

```
Na5B9C
1.0
11.8824 -1.4073 0.0000
11.8824 1.4073 0.0000
-2.6662 0.0000 9.9557
Na B C
10 18 2
direct
0.0000 0.0000 0.0000
0.0995 0.0995 0.6975
0.1992 0.1992 0.3991
0.3004 0.3004 0.1003
0.4009 0.4009 0.8011
0.5000 0.5000 0.5000
0.5991 0.5991 0.1989
0.6996 0.6996 0.8997
0.8008 0.8008 0.6009
0.9005 0.9005 0.3025
0.0124 0.0124 0.2747
0.0763 0.0763 0.4033
0.1156 0.1156 0.9822
0.1771 0.1771 0.1047
0.2197 0.2197 0.6898
0.2815 0.2815 0.8129
0.3212 0.3212 0.3922
0.3836 0.3836 0.5162
0.4249 0.4249 0.0992
0.5751 0.5751 0.9008
0.6164 0.6164 0.4838
0.6788 0.6788 0.6078
0.7185 0.7185 0.1871
0.7803 0.7803 0.3102
0.8229 0.8229 0.8953
0.8844 0.8844 0.0178
0.9237 0.9237 0.5967
0.9876 0.9876 0.7253
0.4822 0.4822 0.2137
0.5178 0.5178 0.7863
```

Results
E above lowest polymorph = 0 meV/atom
raw total energy = -4.824 eV per atom
space-group type = No. 12
total moment = 0.0000 μB per atom
energy of formation from the pure elements = 0.24 eV per atom

Entry 6:
A relaxed structure of Na8B9C7, computed with GGA-PBE.

```
Na8B9C7
1.0
0.0000 8.4588 4.9252
2.8431 0.0000 4.9252
2.8431 8.4588 0.0000
Na B C
8 9 7
direct
0.1253 0.3750 0.1253
0.1253 0.8747 0.1253
0.3736 0.6266 0.3734
0.3750 0.1253 0.3744
0.6256 0.8747 0.6250
0.6266 0.3736 0.6264
0.8747 0.1253 0.8747
0.8747 0.6256 0.8747
0.1668 0.1668 0.8332
0.3397 0.3397 0.6603
0.3397 0.8207 0.6603
0.4167 0.4167 0.0833
0.4169 0.9167 0.0833
0.8207 0.3397 0.1793
0.8334 0.8334 0.1666
0.9167 0.4169 0.5831
0.9167 0.9167 0.5833
0.0835 0.0835 0.4165
0.0832 0.5836 0.4164
0.1669 0.6667 0.8331
0.5835 0.5835 0.9165
0.5836 0.0832 0.9168
0.6667 0.1669 0.3333
0.6668 0.6668 0.3332
```

Results
E above lowest polymorph = 19 meV/atom
raw total energy = -5.585 eV per atom
space-group type = No. 42
total moment = 0.0066 μB per atom
energy of formation from the pure elements = 0.05 eV per atom